PBE with a Hubbard U Nd2MnP2O, relaxed; space-group type = No. 123; uncorrected energy = -33.0 eV for the cell shown; crystal system = tetragonal; N(E_F) = 0.617 states/eV per atom
1.0
3.351 0.000 0.000
0.000 3.351 0.000
0.000 0.000 14.858
Nd Mn P O
2 1 2 1
Cartesian
0.000 0.000 2.114 Nd
0.000 0.000 12.744 Nd
0.000 0.000 7.429 Mn
0.000 0.000 5.055 P
0.000 0.000 9.804 P
0.000 0.000 0.000 O